Computed, not measured: a geometry-optimized CaHf2Ta2 structure at the GGA-PBE level of DFT.

Structure (extended XYZ):
```
10
Lattice="-1.901 5.790 5.909 -6.160 3.056 -4.976 -2.086 -2.042 1.329" Properties=species:S:1:pos:R:3 pbc="T T T"
Ta -1.872 3.906 3.061
Ca -4.031 4.423 0.466
Ta -2.594 1.840 -1.245
Hf -2.751 1.388 1.683
Hf -7.397 5.416 0.578
Ta -6.190 4.940 -2.129
Ta -5.468 7.005 2.177
Hf -4.591 4.724 3.919
Ca 0.000 0.000 0.000
Hf -5.557 2.080 -1.658
```

Properties
For the volume, the calculation gives 116 Å³/f.u. The formation energy comes out at 331 meV per atom. For the total energy, the calculation gives -8.791 eV/atom.